(1)
BaSrPdO2F2: relaxed, GGA-PBE.

Cell lengths 7.445, 7.445, 7.445 Å; angles 147.72, 147.72, 46.30 degrees
Element x y z (fractional)
Ba 0.000 0.000 0.000
Sr 0.728 0.728 0.000
Pd 0.369 0.369 0.000
O 0.349 0.849 0.500
O 0.849 0.349 0.500
F 0.120 0.620 0.500
F 0.620 0.120 0.500

Calculated volume   16.8 Å³/atom
DOS(E_F)   0.4577 states/eV per atom
Energy relative to the elements, uncorrected   -2.543 eV per atom



(2)
BaSr3Pd2O4F4: relaxed, GGA-PBE.

Cell lengths 4.126, 4.126, 13.280 Å; angles 90.00, 90.00, 90.00 degrees
Element x y z (fractional)
Ba 0.000 0.000 0.000
Sr 0.000 0.000 0.721
Sr 0.500 0.500 0.234
Sr 0.500 0.500 0.502
Pd 0.000 0.000 0.368
Pd 0.500 0.500 0.867
O 0.000 0.500 0.367
O 0.000 0.500 0.846
O 0.500 0.000 0.367
O 0.500 0.000 0.846
F 0.000 0.500 0.126
F 0.000 0.500 0.609
F 0.500 0.000 0.126
F 0.500 0.000 0.609

Calculated volume   16.1 Å³/atom
DOS(E_F)   0.4413 states/eV per atom
Energy relative to the elements, uncorrected   -2.567 eV per atom



(3)
Ba3Pm2O4F3: relaxed, GGA-PBE.

Cell lengths 12.352, 12.352, 4.489 Å; angles 100.47, 100.47, 20.95 degrees
Element x y z (fractional)
Ba 0.000 0.000 0.000
Ba 0.120 0.273 0.196
Ba 0.727 0.880 0.804
Pm 0.377 0.416 0.396
Pm 0.584 0.623 0.604
O 0.061 0.108 0.586
O 0.377 0.222 0.299
O 0.778 0.623 0.701
O 0.892 0.939 0.414
F 0.284 0.458 0.871
F 0.468 0.532 0.500
F 0.542 0.716 0.129

Calculated volume   20.1 Å³/atom
DOS(E_F)   0.1380 states/eV per atom
Energy relative to the elements, uncorrected   -3.041 eV per atom



(4)
BaPmO2F: relaxed, GGA-PBE.

Cell lengths 4.517, 4.517, 4.881 Å; angles 90.00, 90.00, 90.00 degrees
Element x y z (fractional)
Ba 0.000 0.000 0.000
Pm 0.500 0.500 0.387
O 0.000 0.500 0.289
O 0.500 0.000 0.289
F 0.500 0.500 0.860

Calculated volume   19.9 Å³/atom
DOS(E_F)   0.0000 states/eV per atom
Energy relative to the elements, uncorrected   -3.255 eV per atom